Run 1
AgBTe2I | GGA-PBE | optimized geometry

Computed properties:
V	124	Å³/f.u.
total magnetization	0.0	μB/cell
space-group type	No. 123

Unit cell a=4.952 b=4.952 c=5.073 alpha=90.00 beta=90.00 gamma=90.00
Sites, in units of the cell vectors:
Ag: 0.000 0.000 0.000
B: 0.500 0.500 0.500
Te: 0.000 0.500 0.500
Te: 0.500 0.000 0.500
I: 0.500 0.500 0.000



Run 2
AgBTe2I | GGA-PBE | optimized geometry

Computed properties:
V	168	Å³/f.u.
total magnetization	0.0	μB/cell
space-group type	No. 123

Unit cell a=5.438 b=5.438 c=5.677 alpha=90.00 beta=90.00 gamma=90.00
Sites, in units of the cell vectors:
Ag: 0.000 0.000 0.000
B: 0.500 0.500 0.500
Te: 0.000 0.500 0.000
Te: 0.500 0.000 0.000
I: 0.000 0.000 0.500



On energetic grounds, run 1 is preferred over the next structure by 51.1 kJ/mol of atoms.



Run 1
InAg2B | GGA-PBE | optimized geometry

Computed properties:
V	86	Å³/f.u.
total magnetization	0.0	μB/cell
space-group type	No. 122

Unit cell a=7.762 b=7.762 c=7.762 alpha=142.55 beta=142.55 gamma=54.01
Sites, in units of the cell vectors:
In: 0.000 0.000 0.000
In: 0.750 0.250 0.500
Ag: 0.258 0.625 0.133
Ag: 0.375 0.508 0.633
Ag: 0.492 0.125 0.867
Ag: 0.875 0.742 0.367
B: 0.250 0.750 0.500
B: 0.500 0.500 0.000



Run 2
InAg2B | GGA-PBE | optimized geometry

Computed properties:
V	69	Å³/f.u.
total magnetization	0.0	μB/cell
space-group type	No. 225

Unit cell a=4.606 b=4.606 c=4.606 alpha=60.00 beta=60.00 gamma=60.00
Sites, in units of the cell vectors:
In: 0.000 0.000 0.000
Ag: 0.250 0.250 0.250
Ag: 0.750 0.750 0.750
B: 0.500 0.500 0.500



On energetic grounds, run 1 is preferred over the next structure by 11.8 kJ/mol of atoms.



Run 1
InAgB3 | GGA-PBE | optimized geometry

Computed properties:
V	92	Å³/f.u.
total magnetization	0.0	μB/cell
space-group type	No. 221

Unit cell a=4.514 b=4.514 c=4.514 alpha=90.00 beta=90.00 gamma=90.00
Sites, in units of the cell vectors:
In: 0.000 0.000 0.000
Ag: 0.500 0.500 0.500
B: 0.000 0.000 0.500
B: 0.000 0.500 0.000
B: 0.500 0.000 0.000



Run 2
InAgB3 | GGA-PBE | optimized geometry

Computed properties:
V	80	Å³/f.u.
total magnetization	0.0	μB/cell
space-group type	No. 221

Unit cell a=4.314 b=4.314 c=4.314 alpha=90.00 beta=90.00 gamma=90.00
Sites, in units of the cell vectors:
In: 0.000 0.000 0.000
Ag: 0.500 0.500 0.500
B: 0.000 0.500 0.500
B: 0.500 0.000 0.500
B: 0.500 0.500 0.000



On energetic grounds, run 2 is preferred over the next structure by 37.4 kJ/mol of atoms.



Run 1
In3AgB | GGA-PBE | optimized geometry

Computed properties:
V	114	Å³/f.u.
total magnetization	0.0	μB/cell
space-group type	No. 221

Unit cell a=4.851 b=4.851 c=4.851 alpha=90.00 beta=90.00 gamma=90.00
Sites, in units of the cell vectors:
In: 0.000 0.000 0.500
In: 0.000 0.500 0.000
In: 0.500 0.000 0.000
Ag: 0.500 0.500 0.500
B: 0.000 0.000 0.000



Run 2
In3AgB | GGA-PBE | optimized geometry

Computed properties:
V	149	Å³/f.u.
total magnetization	0.0	μB/cell
space-group type	No. 221

Unit cell a=5.296 b=5.296 c=5.296 alpha=90.00 beta=90.00 gamma=90.00
Sites, in units of the cell vectors:
In: 0.000 0.000 0.500
In: 0.000 0.500 0.000
In: 0.500 0.000 0.000
Ag: 0.000 0.000 0.000
B: 0.500 0.500 0.500



On energetic grounds, run 1 is preferred over the next structure by 59.9 kJ/mol of atoms.



Run 1
AgB2Ir | GGA-PBE | optimized geometry

Computed properties:
V	45	Å³/f.u.
total magnetization	0.0	μB/cell
space-group type	No. 225

Unit cell a=3.987 b=3.987 c=3.987 alpha=60.00 beta=60.00 gamma=60.00
Sites, in units of the cell vectors:
Ag: 0.000 0.000 0.000
B: 0.250 0.250 0.250
B: 0.750 0.750 0.750
Ir: 0.500 0.500 0.500



Run 2
AgB2Ir | GGA-PBE | optimized geometry

Computed properties:
V	60	Å³/f.u.
total magnetization	0.0	μB/cell
space-group type	No. 122

Unit cell a=5.996 b=5.996 c=5.996 alpha=131.23 beta=131.23 gamma=71.45
Sites, in units of the cell vectors:
Ag: 0.000 0.000 0.000
Ag: 0.750 0.250 0.500
B: 0.175 0.625 0.050
B: 0.375 0.425 0.550
B: 0.575 0.125 0.950
B: 0.875 0.825 0.450
Ir: 0.250 0.750 0.500
Ir: 0.500 0.500 0.000



On energetic grounds, run 2 is preferred over the next structure by 37.3 kJ/mol of atoms.



Run 1
YAgBIr2 | GGA-PBE | optimized geometry

Computed properties:
V	83	Å³/f.u.
total magnetization	0.0	μB/cell
space-group type	No. 123

Unit cell a=4.159 b=4.159 c=4.796 alpha=90.00 beta=90.00 gamma=90.00
Sites, in units of the cell vectors:
Y: 0.000 0.000 0.000
Ag: 0.500 0.500 0.000
B: 0.000 0.000 0.500
Ir: 0.000 0.500 0.500
Ir: 0.500 0.000 0.500



Run 2
YAgBIr2 | GGA-PBE | optimized geometry

Computed properties:
V	80	Å³/f.u.
total magnetization	0.0	μB/cell
space-group type	No. 123

Unit cell a=4.245 b=4.245 c=4.447 alpha=90.00 beta=90.00 gamma=90.00
Sites, in units of the cell vectors:
Y: 0.000 0.000 0.000
Ag: 0.500 0.500 0.000
B: 0.500 0.500 0.500
Ir: 0.000 0.500 0.500
Ir: 0.500 0.000 0.500



On energetic grounds, run 2 is preferred over the next structure by 16.8 kJ/mol of atoms.



Run 1
KAg2BPt | GGA-PBE | optimized geometry

Computed properties:
V	94	Å³/f.u.
total magnetization	0.0	μB/cell
space-group type	No. 123

Unit cell a=4.730 b=4.730 c=4.191 alpha=90.00 beta=90.00 gamma=90.00
Sites, in units of the cell vectors:
K: 0.000 0.000 0.000
Ag: 0.000 0.500 0.500
Ag: 0.500 0.000 0.500
B: 0.500 0.500 0.500
Pt: 0.500 0.500 0.000



Run 2
KAg2BPt | GGA-PBE | optimized geometry

Computed properties:
V	100	Å³/f.u.
total magnetization	0.0	μB/cell
space-group type	No. 123

Unit cell a=4.355 b=4.355 c=5.282 alpha=90.00 beta=90.00 gamma=90.00
Sites, in units of the cell vectors:
K: 0.000 0.000 0.000
Ag: 0.000 0.500 0.500
Ag: 0.500 0.000 0.500
B: 0.000 0.000 0.500
Pt: 0.500 0.500 0.000



On energetic grounds, run 1 is preferred over the next structure by 70.5 kJ/mol of atoms.



Run 1
LaAgB3 | GGA-PBE | optimized geometry

Computed properties:
V	110	Å³/f.u.
total magnetization	0.0	μB/cell
space-group type	No. 221

Unit cell a=4.792 b=4.792 c=4.792 alpha=90.00 beta=90.00 gamma=90.00
Sites, in units of the cell vectors:
La: 0.000 0.000 0.000
Ag: 0.500 0.500 0.500
B: 0.000 0.000 0.500
B: 0.000 0.500 0.000
B: 0.500 0.000 0.000



Run 2
LaAgB3 | GGA-PBE | optimized geometry

Computed properties:
V	80	Å³/f.u.
total magnetization	0.0	μB/cell
space-group type	No. 221

Unit cell a=4.307 b=4.307 c=4.307 alpha=90.00 beta=90.00 gamma=90.00
Sites, in units of the cell vectors:
La: 0.000 0.000 0.000
Ag: 0.500 0.500 0.500
B: 0.000 0.500 0.500
B: 0.500 0.000 0.500
B: 0.500 0.500 0.000



On energetic grounds, run 2 is preferred over the next structure by 112.4 kJ/mol of atoms.